Here is a geometry-optimized CrHgW2 structure from Alexandria. Energies are from PBE.

Calculated total energy in eV/f.u.: -33.04

The structure in POSCAR format:
```
CrHgW2
1.0
0.000 3.207 3.207
3.207 0.000 3.207
3.207 3.207 0.000
Cr Hg W
1 1 2
Cartesian
0.000 0.000 0.000
4.811 4.811 4.811
1.604 1.604 1.604
3.207 3.207 3.207
```